Record 1
The following is a PBE calculation of crystalline YBeTl3 at its relaxed geometry, from the Alexandria database.

DFT total energy, eV per atom: -3.24
Distance to the lowest polymorph of the same formula, eV/f.u.: 0.00
DFT formation energy, eV per atom: 0.22

The structure in CIF format:
```
data_YBeTl3
_chemical_formula_sum 'Y1 Be1 Tl3'
_space_group_name_H-M_alt 'P m -3 m'
_space_group_IT_number 221
_space_group_name_Hall '-P 4 2 3'
_cell_length_a 5.016
_cell_length_b 5.016
_cell_length_c 5.016
_cell_angle_alpha 90.00
_cell_angle_beta 90.00
_cell_angle_gamma 90.00
loop_
_atom_site_label
_atom_site_fract_x
_atom_site_fract_y
_atom_site_fract_z
Y1 0.000 0.000 0.000
Be1 0.500 0.500 0.500
Tl1 0.000 0.500 0.500
```


Record 2
The following is a PBE calculation of crystalline FeSe at its relaxed geometry, from the Alexandria database.

DFT total energy, eV per atom: -6.07
Formation energy from raw total energies, eV per atom: -0.094

The structure in CIF format:
```
data_FeSe
_chemical_formula_sum 'Fe8 Se8'
_space_group_name_H-M_alt 'P 21 21 21'
_space_group_IT_number 19
_cell_length_a 5.602
_cell_length_b 6.773
_cell_length_c 7.134
_cell_angle_alpha 90.00
_cell_angle_beta 90.00
_cell_angle_gamma 90.00
loop_
_space_group_symop_operation_xyz
'x,y,z'
'-x+1/2,-y,z+1/2'
'x+1/2,-y+1/2,-z'
'-x,y+1/2,-z+1/2'
loop_
_atom_site_label
_atom_site_fract_x
_atom_site_fract_y
_atom_site_fract_z
Fe1 0.087 0.154 0.394
Fe2 0.238 0.538 0.390
Se1 0.000 0.376 0.631
Se2 0.006 0.324 0.120
```


Record 3
The following is a PBE calculation of crystalline LiTiNbN3 at its relaxed geometry, from the Alexandria database.

DFT total energy, eV per atom: -8.34
Formation energy from raw total energies, eV per atom: -0.859

The structure in CIF format:
```
data_LiTiNbN3
_chemical_formula_sum 'Li2 Ti2 Nb2 N6'
_space_group_name_H-M_alt 'P 1 21/m 1'
_space_group_IT_number 11
_cell_length_a 6.186
_cell_length_b 2.959
_cell_length_c 6.522
_cell_angle_alpha 90.00
_cell_angle_beta 103.14
_cell_angle_gamma 90.00
loop_
_space_group_symop_operation_xyz
'x,y,z'
'-x,-y,-z'
'-x,y+1/2,-z'
'x,-y+1/2,z'
loop_
_atom_site_label
_atom_site_fract_x
_atom_site_fract_y
_atom_site_fract_z
Li1 0.093 0.250 0.085
Ti1 0.337 0.750 0.330
Nb1 0.197 0.250 0.727
N1 0.097 0.250 0.370
N2 0.229 0.750 0.983
N3 0.431 0.750 0.660
```